[1]
Entry from the Alexandria database: a geometry-optimized Re2NiTe structure (GGA-PBE).

Summary:
Density of states at the Fermi level (states/eV/cell): 28.8
Formation energy (no corrections) (meV/atom): 724
Total magnetization (Bohr magnetons per cell): 0.004
E_tot (eV/atom): -7.73
Crystal system: cubic

Cell lengths 6.337, 6.337, 6.337 Å; angles 90.00, 90.00, 90.00 degrees
Space group F-43m (No. 216)
Symmetry-distinct sites (fractional):
Re  0.000  0.000  0.000 (multiplicity 4)
Re  0.250  0.250  0.250 (multiplicity 4)
Ni  0.000  0.000  0.500 (multiplicity 4)
Te  0.250  0.250  0.750 (multiplicity 4)

[2]
Entry from the Alexandria database: a geometry-optimized Th3Sb2Te structure (GGA-PBE).

Summary:
Density of states at the Fermi level (states/eV/cell): 5.7
Formation energy (no corrections) (meV/atom): -928
Total magnetization (Bohr magnetons per cell): 0.002
E_tot (eV/atom): -6.54
Crystal system: tetragonal

Cell lengths 3.859, 3.859, 11.566 Å; angles 90.00, 90.00, 90.00 degrees
Space group P4/mmm (No. 123)
Symmetry-distinct sites (fractional):
Th  0.000  0.000  0.000 (multiplicity 1)
Th  0.000  0.000  0.328 (multiplicity 2)
Sb  0.500  0.500  0.168 (multiplicity 2)
Te  0.500  0.500  0.500 (multiplicity 1)

[3]
Entry from the Alexandria database: a geometry-optimized Pm2EuLu structure (GGA-PBE).

Summary:
Density of states at the Fermi level (states/eV/cell): 25.0
Formation enthalpy at 0 K (meV/atom): 134
Total magnetization (Bohr magnetons per cell): 30.541
E_tot (eV/atom): -5.94
Crystal system: cubic

Cell lengths 8.193, 8.193, 8.193 Å; angles 90.00, 90.00, 90.00 degrees
Space group Fm-3m (No. 225)
Symmetry-distinct sites (fractional):
Pm  0.250  0.250  0.250 (multiplicity 8)
Eu  0.000  0.000  0.000 (multiplicity 4)
Lu  0.000  0.000  0.500 (multiplicity 4)